No. 1
CeCdBi after structural relaxation. Source: Alexandria via LeMat-Bulk, functional PBE.

The formation energy from the elements is -0.37 eV/atom.

a b c (Å): 4.5174 4.5174 9.6177
angles (deg): 90.00 90.00 90.00
Space group P4/nmm (No. 129, origin choice 2)
Symmetry-distinct sites (fractional):
Ce: 0.2500 0.2500 0.1819 x2
Cd: 0.2500 0.2500 0.5292 x2
Bi: 0.2500 0.2500 0.8438 x2



No. 2
Tl2AgIrAu after structural relaxation. Source: Alexandria via LeMat-Bulk, functional PBE.

The formation energy from the elements is 0.54 eV/atom.

a b c (Å): 5.2120 5.2120 5.2262
angles (deg): 90.00 90.00 90.00
Space group P4/mmm (No. 123)
Symmetry-distinct sites (fractional):
Tl: 0.0000 0.5000 0.0000 x2
Ag: 0.0000 0.0000 0.5000 x1
Ir: 0.5000 0.5000 0.0000 x1
Au: 0.5000 0.5000 0.5000 x1



No. 3
Re2Mo3W8 after structural relaxation. Source: Alexandria via LeMat-Bulk, functional PBE.

The formation energy from the elements is 0.67 eV/atom.

a b c (Å): 12.9034 5.0175 8.2565
angles (deg): 90.00 124.23 90.00
Space group C2/m (No. 12)
Symmetry-distinct sites (fractional):
Re: 0.1101 0.0000 0.0105 x4
Mo: 0.0000 0.2497 0.5000 x4
Mo: 0.0000 0.5000 0.0000 x2
W: 0.1266 0.2499 0.3447 x8
W: 0.1554 0.5000 0.8632 x4
W: 0.2258 0.0000 0.7564 x4



No. 4
CeMgScMn after structural relaxation. Source: Alexandria via LeMat-Bulk, functional PBE.

The formation energy from the elements is 0.12 eV/atom.

a b c (Å): 7.0759 7.0759 7.0759
angles (deg): 90.00 90.00 90.00
Space group F-43m (No. 216)
Symmetry-distinct sites (fractional):
Ce: 0.0000 0.0000 0.0000 x4
Mg: 0.2500 0.2500 0.7500 x4
Sc: 0.0000 0.0000 0.5000 x4
Mn: 0.2500 0.2500 0.2500 x4



No. 5
LaPrMg after structural relaxation. Source: Alexandria via LeMat-Bulk, functional PBE.

The formation energy from the elements is 0.01 eV/atom.

a b c (Å): 5.6389 5.6389 3.4771
angles (deg): 90.00 90.00 120.00
Space group P3m1 (No. 156)
Symmetry-distinct sites (fractional):
La: 0.0000 0.0000 0.0000 x1
Pr: 0.3333 0.6667 0.5859 x1
Mg: 0.6667 0.3333 0.3121 x1



No. 6
Tb3Pm4Dy4 after structural relaxation. Source: Alexandria via LeMat-Bulk, functional PBE.

The formation energy from the elements is 0.13 eV/atom.

a b c (Å): 3.5973 9.4228 21.8163
angles (deg): 90.00 90.00 90.00
Space group Immm (No. 71)
Symmetry-distinct sites (fractional):
Tb: 0.0000 0.0000 0.0000 x2
Tb: 0.0000 0.5000 0.1076 x4
Pm: 0.0000 0.3220 0.3553 x8
Dy: 0.0000 0.0000 0.2599 x4
Dy: 0.0000 0.1832 0.5000 x4



No. 7
Li3Tm3UTe8 after structural relaxation. Source: Alexandria via LeMat-Bulk, functional PBE.

As for the uncorrected formation energy: -16.9 eV/f.u.

a b c (Å): 8.6191 8.6191 21.1771
angles (deg): 90.00 90.00 120.00
Space group R-3m (No. 166, hexagonal axes)
Symmetry-distinct sites (fractional):
Li: 0.0000 0.5000 0.0000 x9
Tm: 0.0000 0.5000 0.5000 x9
U: 0.0000 0.0000 0.5000 x3
Te: 0.0000 0.0000 0.2509 x6
Te: 0.0029 0.5014 0.7496 x18



No. 8
ZnSbIr2 after structural relaxation. Source: Alexandria via LeMat-Bulk, functional PBE.

As for the uncorrected formation energy: 0.2 eV/f.u.

a b c (Å): 5.9826 6.9795 3.0758
angles (deg): 90.00 90.00 90.00
Space group Cmmm (No. 65)
Symmetry-distinct sites (fractional):
Zn: 0.0000 0.0000 0.0000 x2
Sb: 0.0000 0.5000 0.0000 x2
Ir: 0.2500 0.2500 0.5000 x4



No. 9
TbSm2Hg after structural relaxation. Source: Alexandria via LeMat-Bulk, functional PBE.

The formation energy from the elements is -0.23 eV/atom.

a b c (Å): 5.1950 5.1950 8.9215
angles (deg): 90.00 90.00 90.00
Space group P4/nmm (No. 129, origin choice 2)
Symmetry-distinct sites (fractional):
Tb: 0.2500 0.2500 0.2192 x2
Sm: 0.2500 0.2500 0.7784 x2
Sm: 0.2500 0.7500 0.5000 x2
Hg: 0.2500 0.7500 0.0000 x2



No. 10
K2HfGaSe4 after structural relaxation. Source: Alexandria via LeMat-Bulk, functional PBE.

As for the uncorrected formation energy: -8.1 eV/f.u.

a b c (Å): 6.7118 14.0970 23.7633
angles (deg): 90.00 90.00 90.00
Space group Fddd (No. 70, origin choice 2)
Symmetry-distinct sites (fractional):
K: 0.1250 0.1250 0.3073 x16
Hf: 0.1250 0.1250 0.1250 x8
Ga: 0.1250 0.1250 0.6250 x8
Se: 0.1166 0.2750 0.4305 x32



No. 11
Ho2ErSi after structural relaxation. Source: Alexandria via LeMat-Bulk, functional PBE.

As for the uncorrected formation energy: 0.1 eV/f.u.

a b c (Å): 3.5328 3.5328 32.1757
angles (deg): 90.00 90.00 120.00
Space group R-3m (No. 166, hexagonal axes)
Symmetry-distinct sites (fractional):
Ho: 0.0000 0.0000 0.1058 x6
Er: 0.0000 0.0000 0.0000 x3
Si: 0.0000 0.0000 0.5000 x3



No. 12
La2Pm3Y6 after structural relaxation. Source: Alexandria via LeMat-Bulk, functional PBE.

The formation energy from the elements is 0.18 eV/atom.

a b c (Å): 6.3263 10.6071 11.7164
angles (deg): 90.00 97.18 90.00
Space group C2/m (No. 12)
Symmetry-distinct sites (fractional):
La: 0.0000 0.1839 0.0000 x4
Pm: 0.0000 0.0000 0.5000 x2
Pm: 0.0000 0.3369 0.5000 x4
Y: 0.2293 0.5000 0.7563 x4
Y: 0.2323 0.1670 0.7455 x8



Number 1: raw total energy -11.8 eV per formula unit, spin magnetization 1.77 μB per cell. Number 2: raw total energy -17.0 eV per formula unit, spin magnetization 0.00 μB per cell. Number 3: raw total energy -152.3 eV per formula unit, spin magnetization 0.00 μB per cell. Number 4: raw total energy -22.5 eV per formula unit, spin magnetization 7.53 μB per cell. Number 5: raw total energy -11.3 eV per formula unit, spin magnetization 0.00 μB per cell. Number 6: raw total energy -49.9 eV per formula unit, spin magnetization 0.00 μB per cell. Number 7: raw total energy -72.4 eV per formula unit, spin magnetization 6.00 μB per cell. Number 8: raw total energy -22.9 eV per formula unit, spin magnetization 0.00 μB per cell. Number 9: raw total energy -15.3 eV per formula unit, spin magnetization 0.00 μB per cell. Number 10: raw total energy -37.2 eV per formula unit, spin magnetization 0.00 μB per cell. Number 11: raw total energy -19.0 eV per formula unit, spin magnetization 2.20 μB per cell. Number 12: raw total energy -60.9 eV per formula unit, spin magnetization 0.01 μB per cell.